# 1
DFT (PBE) results for a relaxed structure of Ce4NiOs2.

Values from the calculation:
spin magnetization	0.273	μB/atom

Lattice parameters (Å, degrees): 13.5762 4.2318 7.1909 90.00 121.91 90.00
With the nearest neighbours (Å) after each atom.
Space group C2/m (No. 12)
One atom of each set of equivalent atoms:
Ce 0.1183 0.0000 0.3053 (multiplicity 4)  3 Os 2.82, 2 Ni 2.85
Ce 0.1385 0.5000 0.7859 (multiplicity 4)  3 Os 2.77-2.80, 1 Ni 2.99
Ni 0.0000 0.5000 0.0000 (multiplicity 2)  2 Os 2.67, 4 Ce 2.85
Os 0.2319 0.5000 0.2345 (multiplicity 4)  1 Ni 2.67, 6 Ce 2.77-2.82



# 2
DFT (PBE) results for a relaxed structure of Ce6NiOs2.

Values from the calculation:
spin magnetization	0.001	μB/atom

Lattice parameters (Å, degrees): 6.2755 7.2395 11.3572 90.00 122.06 90.00
With the nearest neighbours (Å) after each atom.
Space group P2_1/c (No. 14)
One atom of each set of equivalent atoms:
Ce 0.0817 0.1913 0.4319 (multiplicity 4)  1 Ni 2.69, 2 Os 2.77-2.98
Ce 0.2936 0.6512 0.4456 (multiplicity 4)  1 Ni 2.75, 2 Os 2.93-2.97
Ce 0.3905 0.0504 0.2399 (multiplicity 4)  1 Ni 2.68, 2 Os 2.75-2.89
Ni 0.5000 0.0000 0.5000 (multiplicity 2)  6 Ce 2.68-2.75
Os 0.1624 0.1191 0.7258 (multiplicity 4)  6 Ce 2.75-2.98



# 3
DFT (PBE) results for a relaxed structure of Ce2Ni3Os.

Values from the calculation:
spin magnetization	0.000	μB/atom

Lattice parameters (Å, degrees): 8.7549 5.0656 5.2512 90.00 123.74 90.00
With the nearest neighbours (Å) after each atom.
Space group C2/m (No. 12)
One atom of each set of equivalent atoms:
Ce 0.1268 0.0000 0.3807 (multiplicity 4)  3 Os 2.97, 9 Ni 3.03-3.07, 3 Ce 3.10
Ni 0.0000 0.5000 0.0000 (multiplicity 2)  4 Ni 2.53, 2 Os 2.63
Ni 0.2500 0.2500 0.0000 (multiplicity 4)  4 Ni 2.53, 2 Os 2.63
Os 0.0000 0.5000 0.5000 (multiplicity 2)  6 Ni 2.63



# 4
DFT (PBE) results for a relaxed structure of Ce2Ni3P4Os.

Values from the calculation:
spin magnetization	0.111	μB/atom

Lattice parameters (Å, degrees): 4.0620 4.0620 9.2283 90.00 90.00 90.00
With the nearest neighbours (Å) after each atom.
Space group P-4m2 (No. 115)
One atom of each set of equivalent atoms:
Ce 0.0000 0.5000 0.2397 (multiplicity 2)  8 P 3.00-3.09, 7 Ni 3.10-3.26, 2 Os 3.15
Ni 0.0000 0.5000 0.8868 (multiplicity 2)  5 P 2.28-2.31
Ni 0.5000 0.5000 0.5000 (multiplicity 1)  4 P 2.39
P 0.0000 0.0000 0.0000 (multiplicity 1)  4 Ni 2.28
P 0.0000 0.5000 0.6369 (multiplicity 2)  3 Ni 2.31-2.39, 2 Os 2.39
P 0.5000 0.5000 0.0000 (multiplicity 1)  4 Ni 2.28
Os 0.0000 0.0000 0.5000 (multiplicity 1)  4 P 2.39



# 5
DFT (PBE) results for a relaxed structure of CeNi2P2Os.

Values from the calculation:
spin magnetization	0.031	μB/atom

Lattice parameters (Å, degrees): 4.5638 4.5638 5.1581 90.00 90.00 90.00
With the nearest neighbours (Å) after each atom.
Space group P4/mmm (No. 123)
One atom of each set of equivalent atoms:
Ce 0.0000 0.0000 0.0000 (multiplicity 1)  2 Os 2.58
Ni 0.5000 0.5000 0.2536 (multiplicity 2)  2 Ni 2.54-2.62, 4 P 2.61
P 0.0000 0.5000 0.5000 (multiplicity 2)  2 Os 2.28
Os 0.0000 0.0000 0.5000 (multiplicity 1)  4 P 2.28



# 6
DFT (PBE) results for a relaxed structure of CePmNiOs.

Values from the calculation:
spin magnetization	0.104	μB/atom

Lattice parameters (Å, degrees): 6.9341 6.9341 6.9341 90.00 90.00 90.00
With the nearest neighbours (Å) after each atom.
Space group F-43m (No. 216)
One atom of each set of equivalent atoms:
Ce 0.0000 0.0000 0.0000 (multiplicity 4)  4 Ni 3.00, 4 Os 3.00
Pm 0.0000 0.0000 0.5000 (multiplicity 4)  4 Os 3.00, 4 Ni 3.00
Ni 0.2500 0.2500 0.7500 (multiplicity 4)  4 Ce 3.00, 4 Pm 3.00
Os 0.2500 0.2500 0.2500 (multiplicity 4)  4 Ce 3.00, 4 Pm 3.00



| no. | final energy (hartree per atom) | calculated density (g cm⁻³) | ΔH_f (0 K) (eV per formula unit) |
| --- | --- | --- | --- |
| 1 | -0.278 | 9.5 | -1.01 |
| 2 | -0.266 | 9.7 | -1.23 |
| 3 | -0.261 | 11.1 | -2.18 |
| 4 | -0.262 | 8.4 | -9.24 |
| 5 | -0.242 | 7.9 | 0.04 |
| 6 | -0.260 | 10.6 | -0.62 |